## ThMgInPb (GGA-PBE)

Data for a geometry-optimized ThMgInPb structure.

## Properties
Its formation energy is -0.38 eV per formula unit. Its space group is No. 216. As for the offset from the most stable computed form: 176 meV per atom.

Cell: 5.380 5.380 5.380 Å, 60.00 60.00 60.00°
Sites, in units of the cell vectors:
Pb  0.750  0.750  0.750
Mg  0.000  0.000  0.000
Th  0.500  0.500  0.500
In  0.250  0.250  0.250